Record 1
Here is Tm2ScS3 after structural relaxation from Alexandria. Energies are from PBE-GGA.

Values from the calculation:
- Raw formation energy: -43.88 kcal/mol of atoms
- Symmetry: Immm, No. 71

Unit cell a=3.8049 b=5.3657 c=6.5676 alpha=114.11 beta=106.84 gamma=90.00
Positions (direct):
Tm 0.8323 0.8323 0.1646
Tm 0.1677 0.1677 0.8354
Sc 0.5000 0.5000 0.5000
S 0.8383 0.3383 0.1767
S 0.1617 0.6617 0.8233
S 0.5000 0.0000 0.5000

---

Record 2
Here is AgHI after structural relaxation from Alexandria. Energies are from PBE-GGA.

Values from the calculation:
- Energy above the most stable polymorph in this dataset: 0.205 eV/atom
- Symmetry: P-1, No. 2

Unit cell a=5.9441 b=4.5536 c=6.7816 alpha=77.79 beta=69.52 gamma=75.03
Positions (direct):
Ag 0.8435 0.5782 0.0665
Ag 0.2837 0.1890 0.0943
H 0.9685 0.2727 0.2275
H 0.1587 0.4943 0.9333
I 0.7453 0.1067 0.7937
I 0.3818 0.6602 0.3670